First-principles (GGA-PBE) data for an optimized crystal structure of CaNbNi10, as listed in Alexandria via LeMat-Bulk.

Properties
* energy relative to the elements: -0.9 eV per formula unit
* N(E_F): 1.184 states/eV/atom

The structure in POSCAR format:
```
CaNbNi10
1.0
3.9607 0.0000 0.0000
0.0000 4.7833 0.0000
0.0000 0.0000 8.2897
Ni Ca Nb
10 1 1
direct
0.5000 0.5000 0.0000
0.0000 0.0000 0.3438
0.5000 0.0000 0.5000
0.5000 0.7428 0.2621
0.0000 0.5000 0.8168
0.0000 0.5000 0.1832
0.5000 0.7428 0.7379
0.5000 0.2572 0.2621
0.5000 0.2572 0.7379
0.0000 0.0000 0.6562
0.0000 0.0000 0.0000
0.0000 0.5000 0.5000
```

=====

First-principles (GGA-PBE) data for an optimized crystal structure of Cs2RbZn2F7, as listed in Alexandria via LeMat-Bulk.

Properties
* formation energy without anion corrections: -2.562 eV/atom
* N(E_F): 0.000 states/eV/atom

The structure in POSCAR format:
```
Cs2RbZn2F7
1.0
-2.4591 2.1224 -2.7856
-0.9809 -3.6849 -1.9418
-10.8109 -2.0721 4.6777
Cs F Rb Zn
2 7 1 2
direct
0.1834 0.1834 0.6336
0.8166 0.8166 0.3664
0.5881 0.0884 0.8230
0.0884 0.5881 0.8230
0.4119 0.9116 0.1770
0.9116 0.4119 0.1770
0.5000 0.5000 0.0000
0.3232 0.3232 0.3538
0.6768 0.6768 0.6462
0.0000 0.0000 0.0000
0.5893 0.5893 0.8218
0.4107 0.4107 0.1782
```

=====

First-principles (GGA-PBE) data for an optimized crystal structure of Pm3Zn2Ag9, as listed in Alexandria via LeMat-Bulk.

Properties
* energy relative to the elements: -2.7 eV per formula unit
* N(E_F): 0.577 states/eV/atom

The structure in POSCAR format:
```
Pm3Zn2Ag9
1.0
-0.7370 1.2324 4.3564
7.5835 2.3607 3.0300
0.1814 8.4987 0.0413
Ag Zn Pm
9 2 3
direct
0.1282 0.5898 0.1539
0.0000 0.5000 0.5000
0.8718 0.8461 0.4102
0.1282 0.1539 0.5898
0.6590 0.7055 0.9766
0.3410 0.0234 0.2945
0.3410 0.2945 0.0234
0.6590 0.9766 0.7055
0.8718 0.4102 0.8461
0.5000 0.6878 0.3122
0.5000 0.3122 0.6878
0.0000 0.0000 0.0000
0.3001 0.6999 0.6999
0.6999 0.3001 0.3001
```

=====

First-principles (GGA-PBE) data for an optimized crystal structure of CsLiSiAu2, as listed in Alexandria via LeMat-Bulk.

Properties
* formation energy without anion corrections: -0.175 eV/atom
* N(E_F): 0.293 states/eV/atom

The structure in POSCAR format:
```
CsLiSiAu2
1.0
4.9908 0.0000 0.0000
0.0000 4.9908 0.0000
0.0000 0.0000 5.2444
Si Cs Au Li
1 1 2 1
direct
0.0000 0.0000 0.0000
0.5000 0.5000 0.5000
0.5000 0.0000 0.0000
0.0000 0.5000 0.0000
0.0000 0.0000 0.5000
```

=====

First-principles (GGA-PBE) data for an optimized crystal structure of Gd2P4O13, as listed in Alexandria via LeMat-Bulk.

Properties
* formation energy without anion corrections: -2.642 eV/atom
* offset from the most stable computed form: 0.0239 eV per atom
* N(E_F): 0.000 states/eV/atom

The structure in POSCAR format:
```
Gd2P4O13
1.0
6.9291 -0.0301 0.0149
3.5191 5.9690 0.0149
3.1389 1.7842 12.6397
O Gd P
26 4 8
direct
0.5537 0.9219 0.0960
0.8662 0.9131 0.3962
0.0778 0.1217 0.3450
0.1338 0.0869 0.6038
0.2536 0.7464 0.7500
0.0798 0.4159 0.9037
0.6894 0.7064 0.2755
0.0869 0.1338 0.1038
0.6682 0.3247 0.4381
0.6753 0.3318 0.0619
0.3106 0.2936 0.7245
0.3318 0.6753 0.5619
0.2936 0.3106 0.2245
0.9222 0.8783 0.6550
0.4463 0.0781 0.9040
0.9219 0.5537 0.5960
0.7464 0.2536 0.2500
0.1217 0.0778 0.8450
0.0781 0.4463 0.4040
0.9202 0.5841 0.0963
0.7064 0.6894 0.7755
0.8783 0.9222 0.1550
0.5841 0.9202 0.5963
0.9131 0.8662 0.8962
0.4159 0.0798 0.4037
0.3247 0.6682 0.9381
0.6871 0.6962 0.4490
0.6962 0.6871 0.9490
0.3038 0.3129 0.0510
0.3129 0.3038 0.5510
0.7779 0.7516 0.6601
0.2484 0.2221 0.8399
0.1691 0.8505 0.6354
0.7516 0.7779 0.1601
0.8505 0.1691 0.1354
0.8309 0.1495 0.3646
0.2221 0.2484 0.3399
0.1495 0.8309 0.8646
```

=====

First-principles (GGA-PBE) data for an optimized crystal structure of Pm2Ho8Mg, as listed in Alexandria via LeMat-Bulk.

Properties
* energy relative to the elements: 1.2 eV per formula unit
* offset from the most stable computed form: 0.0000 eV per atom
* N(E_F): 1.686 states/eV/atom

The structure in POSCAR format:
```
Pm2Ho8Mg
1.0
5.2535 0.0000 -1.5952
-0.9360 6.9310 -3.0825
0.0439 0.0582 9.5928
Ho Mg Pm
8 1 2
direct
0.1747 0.1747 0.3494
0.6359 0.8595 0.2718
0.8253 0.8253 0.6506
0.3641 0.5877 0.7282
0.0000 0.7327 0.0000
0.6359 0.4123 0.2718
0.0000 0.2673 0.0000
0.3641 0.1405 0.7282
0.5000 0.0000 0.0000
0.1953 0.6953 0.3907
0.8047 0.3047 0.6093
```

=====

First-principles (GGA-PBE) data for an optimized crystal structure of HoAl4Ni4, as listed in Alexandria via LeMat-Bulk.

Properties
* energy relative to the elements: -3.2 eV per formula unit
* N(E_F): 0.562 states/eV/atom

The structure in POSCAR format:
```
HoAl4Ni4
1.0
-2.9242 3.0774 1.2066
-5.4795 -5.8322 1.5952
2.7068 -0.4412 7.6852
Ni Ho Al
8 2 8
direct
0.0000 0.6894 0.1844
0.5000 0.6844 0.8106
0.0000 0.3106 0.8156
0.5000 0.1894 0.6844
0.5000 0.3156 0.1894
0.5000 0.8106 0.3156
0.0000 0.1844 0.3106
0.0000 0.8156 0.6894
0.0000 0.0000 0.0000
0.5000 0.5000 0.5000
0.5000 0.3820 0.8946
0.0000 0.6054 0.8820
0.5000 0.8946 0.6180
0.0000 0.1180 0.6054
0.0000 0.8820 0.3946
0.0000 0.3946 0.1180
0.5000 0.1054 0.3820
0.5000 0.6180 0.1054
```

=====

First-principles (GGA-PBE) data for an optimized crystal structure of Pr4CoCu, as listed in Alexandria via LeMat-Bulk.

Properties
* energy relative to the elements: -0.3 eV per formula unit
* offset from the most stable computed form: 0.0000 eV per atom
* N(E_F): 1.146 states/eV/atom

The structure in POSCAR format:
```
Pr4CoCu
1.0
6.0390 0.0000 -1.8490
0.0000 7.1064 0.0000
-0.2634 0.0000 7.8803
Pr Cu Co
8 2 2
direct
0.5580 0.2500 0.4007
0.5614 0.2500 0.8779
0.9887 0.0034 0.2652
0.9887 0.4966 0.2652
0.0113 0.9966 0.7348
0.0113 0.5034 0.7348
0.4386 0.7500 0.1221
0.4420 0.7500 0.5993
0.7956 0.7500 0.9482
0.2044 0.2500 0.0518
0.2213 0.2500 0.5562
0.7787 0.7500 0.4438
```

=====

First-principles (GGA-PBE) data for an optimized crystal structure of SmHfZn4, as listed in Alexandria via LeMat-Bulk.

Properties
* energy relative to the elements: -1.2 eV per formula unit
* offset from the most stable computed form: 0.0608 eV per atom
* N(E_F): 0.829 states/eV/atom

The structure in POSCAR format:
```
SmHfZn4
1.0
-2.8884 0.3665 4.5093
0.7326 -3.5564 3.9530
2.3527 1.5225 4.5779
Zn Hf Sm
4 1 1
direct
0.1220 0.6260 0.6260
0.6260 0.6260 0.6260
0.6260 0.1220 0.6260
0.6260 0.6260 0.1220
0.0000 0.0000 0.0000
0.2500 0.2500 0.2500
```

=====

First-principles (GGA-PBE) data for an optimized crystal structure of HfZr2AuN, as listed in Alexandria via LeMat-Bulk.

Properties
* formation energy without anion corrections: -0.944 eV/atom
* N(E_F): 0.945 states/eV/atom

The structure in POSCAR format:
```
HfZr2AuN
1.0
4.4789 0.0000 0.0000
0.0000 4.4789 0.0000
0.0000 0.0000 4.4034
Hf Au Zr N
1 1 2 1
direct
0.0000 0.0000 0.5000
0.5000 0.5000 0.5000
0.5000 0.0000 0.0000
0.0000 0.5000 0.0000
0.0000 0.0000 0.0000
```

=====

First-principles (GGA-PBE) data for an optimized crystal structure of Cs2AlPdBr6, as listed in Alexandria via LeMat-Bulk.

Properties
* formation energy without anion corrections: -1.107 eV/atom
* N(E_F): 0.145 states/eV/atom

The structure in POSCAR format:
```
Cs2AlPdBr6
1.0
7.6668 0.0000 0.0000
0.0000 7.6668 0.0000
3.8334 3.8334 5.3340
Br Pd Cs Al
6 1 2 1
direct
0.2654 0.2654 0.0000
0.2654 0.7346 0.0000
0.2507 0.2507 0.4985
0.7493 0.7493 0.5015
0.7346 0.7346 0.0000
0.7346 0.2654 0.0000
0.0000 0.0000 0.0000
0.2500 0.7500 0.5000
0.7500 0.2500 0.5000
0.5000 0.5000 0.0000
```

=====

First-principles (GGA-PBE) data for an optimized crystal structure of LiTiSbI2, as listed in Alexandria via LeMat-Bulk.

Properties
* formation energy without anion corrections: 0.440 eV/atom
* offset from the most stable computed form: 0.6457 eV per atom
* N(E_F): 1.636 states/eV/atom

The structure in POSCAR format:
```
LiTiSbI2
1.0
5.1714 0.0000 0.0000
0.0000 5.1714 0.0000
0.0000 0.0000 5.3556
Ti I Sb Li
1 2 1 1
direct
0.5000 0.5000 0.5000
0.5000 0.0000 0.0000
0.0000 0.5000 0.0000
0.0000 0.0000 0.5000
0.0000 0.0000 0.0000
```

=====

First-principles (GGA-PBE) data for an optimized crystal structure of Zn2IrBr, as listed in Alexandria via LeMat-Bulk.

Properties
* formation energy without anion corrections: 0.139 eV/atom
* offset from the most stable computed form: 0.2188 eV per atom
* N(E_F): 0.294 states/eV/atom

The structure in POSCAR format:
```
Zn2IrBr
1.0
3.4791 0.0000 0.0000
0.0000 3.4791 0.0000
0.0000 0.0000 7.2056
Br Zn Ir
1 2 1
direct
0.0000 0.0000 0.4163
0.0000 0.0000 0.9510
0.5000 0.5000 0.2342
0.5000 0.5000 0.8986
```

=====

First-principles (GGA-PBE) data for an optimized crystal structure of Ag2SeS6, as listed in Alexandria via LeMat-Bulk.

Properties
* formation energy without anion corrections: 0.137 eV/atom
* N(E_F): 0.042 states/eV/atom

The structure in POSCAR format:
```
Ag2SeS6
1.0
-2.0591 3.0881 -2.4419
-4.8742 -5.5260 3.1319
-1.8126 3.1657 6.5380
S Ag Se
6 2 1
direct
0.6953 0.2427 0.5848
0.3047 0.7573 0.4152
0.9710 0.6140 0.2336
0.0290 0.3860 0.7664
0.0351 0.6608 0.6583
0.9649 0.3392 0.3417
0.4035 0.8740 0.8635
0.5965 0.1260 0.1365
0.0000 0.0000 0.0000
```

=====

First-principles (GGA-PBE) data for an optimized crystal structure of Ac2Hg3Pt, as listed in Alexandria via LeMat-Bulk.

Properties
* energy relative to the elements: -3.8 eV per formula unit
* N(E_F): 0.756 states/eV/atom

The structure in POSCAR format:
```
Ac2Hg3Pt
1.0
-2.8385 -2.3300 -1.5348
-0.9999 -1.7692 4.5352
-5.8076 6.2997 1.1771
Hg Pt Ac
3 1 2
direct
0.5000 0.0000 0.8300
0.5000 0.5000 0.6591
0.5000 0.0000 0.1665
0.5000 0.5000 0.3293
0.0000 0.5000 0.0382
0.0000 0.0000 0.4769
```

=====

First-principles (GGA-PBE) data for an optimized crystal structure of ZnGa2AsRh, as listed in Alexandria via LeMat-Bulk.

Properties
* energy relative to the elements: 0.4 eV per formula unit
* N(E_F): 0.750 states/eV/atom

The structure in POSCAR format:
```
ZnGa2AsRh
1.0
-3.0103 0.0573 3.7511
-3.7061 -0.8597 -2.9611
0.6337 -4.7325 0.5809
Rh As Zn Ga
1 1 1 2
direct
0.0000 0.0000 0.0000
0.0000 0.5000 0.0000
0.5000 0.5000 0.5000
0.0000 0.0000 0.5000
0.5000 0.0000 0.0000
```

=====

First-principles (GGA-PBE) data for an optimized crystal structure of Dy12Ho7Cd, as listed in Alexandria via LeMat-Bulk.

Properties
* energy relative to the elements: 4.0 eV per formula unit
* N(E_F): 2.116 states/eV/atom

The structure in POSCAR format:
```
Dy12Ho7Cd
1.0
8.4196 1.6342 -1.3038
-1.7348 8.3995 -1.3038
1.0887 1.6342 8.4501
Dy Ho Cd
12 7 1
direct
0.4661 0.1229 0.3420
0.6650 0.1094 0.9930
0.8906 0.0070 0.3350
0.0070 0.3350 0.8906
0.6580 0.5339 0.8771
0.9930 0.6650 0.1094
0.3350 0.8906 0.0070
0.8771 0.6580 0.5339
0.1094 0.9930 0.6650
0.5339 0.8771 0.6580
0.1229 0.3420 0.4661
0.3420 0.4661 0.1229
0.5000 0.5000 0.5000
0.6255 0.7600 0.2187
0.7600 0.2187 0.6255
0.2187 0.6255 0.7600
0.3745 0.2400 0.7813
0.7813 0.3745 0.2400
0.2400 0.7813 0.3745
0.0000 0.0000 0.0000
```

=====

First-principles (GGA-PBE) data for an optimized crystal structure of CeAl3ZnNi, as listed in Alexandria via LeMat-Bulk.

Properties
* energy relative to the elements: -1.5 eV per formula unit
* N(E_F): 1.254 states/eV/atom

The structure in POSCAR format:
```
CeAl3ZnNi
1.0
5.8105 0.0000 0.0000
0.0000 6.0258 0.0000
0.0000 -3.0129 6.2225
Ni Zn Al Ce
2 2 6 2
direct
0.2500 0.9250 0.8500
0.7500 0.0750 0.1500
0.2500 0.3472 0.6944
0.7500 0.6528 0.3056
0.7500 0.8670 0.7340
0.5000 0.2841 0.0000
0.0000 0.7159 0.0000
0.2500 0.1330 0.2660
0.0000 0.2841 0.0000
0.5000 0.7159 0.0000
0.7500 0.2780 0.5561
0.2500 0.7220 0.4439
```

=====

First-principles (GGA-PBE) data for an optimized crystal structure of Ca3Ho2ScTe6, as listed in Alexandria via LeMat-Bulk.

Properties
* formation energy without anion corrections: -1.406 eV/atom
* N(E_F): 0.480 states/eV/atom

The structure in POSCAR format:
```
Ca3Ho2ScTe6
1.0
-1.4620 0.7040 -4.0406
5.6500 -6.0447 -3.0976
-7.2530 -5.3110 4.0451
Sc Ca Te Ho
1 3 6 2
direct
0.5000 0.0000 0.0000
0.1683 0.8339 0.3366
0.5000 0.5000 0.0000
0.8317 0.1661 0.6634
0.6685 0.5794 0.3369
0.3383 0.9164 0.6767
0.0002 0.2374 0.0003
0.6617 0.0836 0.3233
0.9998 0.7626 0.9997
0.3315 0.4206 0.6631
0.1650 0.3305 0.3300
0.8350 0.6695 0.6700
```

=====

First-principles (GGA-PBE) data for an optimized crystal structure of Sm3Er3CuS8, as listed in Alexandria via LeMat-Bulk.

Properties
* formation energy without anion corrections: -1.814 eV/atom
* N(E_F): 0.299 states/eV/atom

The structure in POSCAR format:
```
Sm3Er3CuS8
1.0
7.7933 0.0000 0.0000
-3.8967 6.7488 -0.0236
0.0000 -4.4769 6.4231
S Er Cu Sm
8 3 1 3
direct
0.2435 0.4871 0.7357
0.7563 0.0079 0.2642
0.2516 0.0079 0.2642
0.2437 0.9921 0.7358
0.7462 0.4925 0.7387
0.2538 0.5075 0.2613
0.7484 0.9921 0.7358
0.7565 0.5129 0.2643
0.0000 0.5000 0.5000
0.5000 0.0000 0.5000
0.5000 0.5000 0.5000
0.0000 0.0000 0.5000
0.5000 0.5000 0.0000
0.0000 0.5000 0.0000
0.0000 0.0000 0.0000
```

=====

First-principles (GGA-PBE) data for an optimized crystal structure of CaMg3Tl, as listed in Alexandria via LeMat-Bulk.

Properties
* energy relative to the elements: 3.9 eV per formula unit
* offset from the most stable computed form: 0.8771 eV per atom
* N(E_F): 1.827 states/eV/atom

The structure in POSCAR format:
```
CaMg3Tl
1.0
-0.0165 5.8393 1.5815
-5.1737 -0.8333 3.0228
3.1355 -1.3442 4.9960
Ca Tl Mg
1 1 3
direct
0.0000 0.0000 0.0000
0.5000 0.5000 0.5000
0.0000 0.0000 0.5000
0.0000 0.5000 0.0000
0.5000 0.0000 0.0000
```